No. 1
Material: AcHoIr
Method: DFT, PBE
State: optimized geometry

The space group is I4/mmm (No. 139) and the conventional cell measures 12.0025, 12.0025 and 6.0364 Å, with angles of 90.00, 90.00 and 90.00 degrees. The asymmetric unit holds Ac at (0.0000, 0.3230, 0.0000), Ho at (0.1625, 0.1625, 0.5000) and Ir at (0.0000, 0.3154, 0.5000).

The value obtained for the energy relative to the lowest polymorph listed for this composition is 0.195 eV/atom. As for the formation energy: -0.42 eV/atom.



No. 2
Material: Pa2TaZn
Method: DFT, PBE
State: optimized geometry

The space group is P4/mmm (No. 123) and the conventional cell measures 3.6761, 3.6761 and 6.5097 Å, with angles of 90.00, 90.00 and 90.00 degrees. The asymmetric unit holds Pa at (0.0000, 0.0000, 0.2416), Ta at (0.5000, 0.5000, 0.5000) and Zn at (0.5000, 0.5000, 0.0000).

The value obtained for the energy relative to the lowest polymorph listed for this composition is 0.107 eV/atom. As for the formation energy: 0.24 eV/atom.



No. 3
Material: CoPPt2
Method: DFT, PBE
State: optimized geometry

The space group is Pmmm (No. 47) and the conventional cell measures 2.7371, 3.8995 and 5.4475 Å, with angles of 90.00, 90.00 and 90.00 degrees. The asymmetric unit holds Co at (0.0000, 0.0000, 0.0000), P at (0.5000, 0.0000, 0.5000) and Pt at (0.5000, 0.5000, 0.2422).

As for the formation energy: -0.06 eV/atom.



No. 4
Material: TiNbTcRu
Method: DFT, PBE
State: optimized geometry

The space group is P4mm (No. 99) and the conventional cell measures 3.1417, 3.1417 and 6.2756 Å, with angles of 90.00, 90.00 and 90.00 degrees. The asymmetric unit holds Ti at (0.0000, 0.0000, 0.0000), Nb at (0.0000, 0.0000, 0.4934), Tc at (0.5000, 0.5000, 0.2428) and Ru at (0.5000, 0.5000, 0.7534).

The value obtained for the energy relative to the lowest polymorph listed for this composition is 0.003 eV/atom. As for the formation energy: -0.52 eV/atom.



No. 5
Material: Pu3Al4Au4
Method: DFT, PBE
State: optimized geometry

The space group is Immm (No. 71) and the conventional cell measures 4.3657, 7.2039 and 14.5308 Å, with angles of 90.00, 90.00 and 90.00 degrees. The asymmetric unit holds Pu at (0.0000, 0.0000, 0.0000), Pu at (0.0000, 0.5000, 0.1164), Al at (0.0000, 0.3042, 0.3233), Au at (0.0000, 0.0000, 0.2175) and Au at (0.0000, 0.2076, 0.5000).

As for the formation energy: -0.48 eV/atom.



No. 6
Material: Tb4Pr2N
Method: DFT, PBE
State: optimized geometry

The space group is I4/mmm (No. 139) and the conventional cell measures 4.8407, 4.8407 and 17.9445 Å, with angles of 90.00, 90.00 and 90.00 degrees. The asymmetric unit holds Tb at (0.0000, 0.0000, 0.1304), Tb at (0.0000, 0.5000, 0.0000), Pr at (0.0000, 0.0000, 0.3269) and N at (0.0000, 0.0000, 0.0000).

Its formation energy without anion corrections is -0.2921 eV/atom.



No. 7
Material: Sm2Dy3HoTm6
Method: DFT, PBE
State: optimized geometry

The space group is C2/m (No. 12) and the conventional cell measures 6.1138, 10.5792 and 11.6520 Å, with angles of 90.00, 100.03 and 90.00 degrees. The asymmetric unit holds Sm at (0.0000, 0.1666, 0.0000), Dy at (0.0000, 0.0000, 0.5000), Dy at (0.0000, 0.3334, 0.5000), Ho at (0.0000, 0.5000, 0.0000), Tm at (0.2494, 0.1665, 0.7487) and Tm at (0.2487, 0.5000, 0.7485).

As for the formation energy: 0.02 eV/atom.



No. 8
Material: Er3Tl2Co
Method: DFT, PBE
State: optimized geometry

The space group is Cmmm (No. 65) and the conventional cell measures 5.1403, 16.4959 and 3.5763 Å, with angles of 90.00, 90.00 and 90.00 degrees. The asymmetric unit holds Er at (0.0000, 0.0000, 0.0000), Er at (0.0000, 0.3768, 0.5000), Tl at (0.0000, 0.1937, 0.0000) and Co at (0.0000, 0.5000, 0.0000).

As for the formation energy: -0.23 eV/atom.



No. 9
Material: Fe2AsI8
Method: DFT, PBE
State: optimized geometry

The space group is C2/m (No. 12) and the conventional cell measures 15.3093, 9.4314 and 7.0251 Å, with angles of 90.00, 91.71 and 90.00 degrees. The asymmetric unit holds Fe at (0.1672, 0.0000, 0.4175), As at (0.0000, 0.0000, 0.0000), I at (0.0809, 0.2082, 0.2499), I at (0.1621, 0.0000, 0.7838) and I at (0.1744, 0.5000, 0.6627).

Its formation energy without anion corrections is -0.1420 eV/atom.



No. 10
Material: La13Ga2
Method: DFT, PBE
State: optimized geometry

The space group is P-1 (No. 2) and the conventional cell measures 6.5929, 8.7162 and 9.8398 Å, with angles of 68.83, 77.12 and 81.49 degrees. The asymmetric unit holds La at (0.0000, 0.0000, 0.0000), La at (0.0485, 0.4256, 0.7080), La at (0.2108, 0.1698, 0.2406), La at (0.2515, 0.5950, 0.9469), La at (0.2692, 0.9821, 0.6427), La at (0.4560, 0.3646, 0.4292), La at (0.4699, 0.7909, 0.1541) and Ga at (0.1188, 0.7804, 0.4535).

As for the formation energy: -0.13 eV/atom.



No. 11
Material: NaPrIn6
Method: DFT, PBE
State: optimized geometry

The space group is P4/mmm (No. 123) and the conventional cell measures 4.7116, 4.7116 and 9.4709 Å, with angles of 90.00, 90.00 and 90.00 degrees. The asymmetric unit holds Na at (0.0000, 0.0000, 0.0000), Pr at (0.0000, 0.0000, 0.5000), In at (0.0000, 0.5000, 0.2440), In at (0.5000, 0.5000, 0.0000) and In at (0.5000, 0.5000, 0.5000).

As for the formation energy: -0.25 eV/atom.



No. 12
Material: AcDy5Y2
Method: DFT, PBE
State: optimized geometry

The space group is Pbam (No. 55) and the conventional cell measures 7.2266, 20.3027 and 7.2188 Å, with angles of 90.00, 90.00 and 90.00 degrees. The asymmetric unit holds Ac at (0.2491, 0.1256, 0.0000), Dy at (0.0000, 0.0000, 0.2553), Dy at (0.0006, 0.2503, 0.2560), Dy at (0.2484, 0.8748, 0.5000), Dy at (0.2485, 0.8745, 0.0000), Y at (0.0000, 0.5000, 0.2550) and Y at (0.2492, 0.1251, 0.5000).

As for the formation energy: 0.04 eV/atom.



No. 13
Material: TbDyOsO6
Method: DFT, PBE
State: optimized geometry

The space group is P-31c (No. 163) and the conventional cell measures 5.4944, 5.4944 and 9.5517 Å, with angles of 90.00, 90.00 and 120.00 degrees. The asymmetric unit holds Tb at (0.0000, 0.0000, 0.0000), Dy at (0.3333, 0.6667, 0.2500), Os at (0.3333, 0.6667, 0.7500) and O at (0.0436, 0.3706, 0.6350).

Its formation energy without anion corrections is -2.3728 eV/atom.



No. 14
Material: SrH3F6
Method: DFT, PBE
State: optimized geometry

The space group is R3m (No. 160, hexagonal axes) and the conventional cell measures 10.9826, 10.9826 and 3.9601 Å, with angles of 90.00, 90.00 and 120.00 degrees. The asymmetric unit holds Sr at (0.0000, 0.0000, 0.0000), H at (0.1833, 0.3665, 0.0895), F at (0.0720, 0.5360, 0.6733) and F at (0.1718, 0.0859, 0.5022).

The calculation puts the total energy at -4.39 eV per atom.



No. 15
Material: K3Ni
Method: DFT, PBE
State: optimized geometry

The space group is R-3m (No. 166, hexagonal axes) and the conventional cell measures 4.7121, 4.7121 and 34.4987 Å, with angles of 90.00, 90.00 and 120.00 degrees. The asymmetric unit holds K at (0.0000, 0.0000, 0.0000), K at (0.0000, 0.0000, 0.2168) and Ni at (0.0000, 0.0000, 0.5000).

The value obtained for the energy relative to the lowest polymorph listed for this composition is 0.037 eV/atom. As for the formation energy: 0.55 eV/atom.



No. 16
Material: Li2TaPb
Method: DFT, PBE
State: optimized geometry

The space group is R-3m (No. 166, hexagonal axes) and the conventional cell measures 3.0507, 3.0507 and 30.2969 Å, with angles of 90.00, 90.00 and 120.00 degrees. The asymmetric unit holds Li at (0.0000, 0.0000, 0.2492), Ta at (0.0000, 0.0000, 0.5000) and Pb at (0.0000, 0.0000, 0.0000).

As for the formation energy: 0.30 eV/atom.



No. 17
Material: Sr5Zn2Bi
Method: DFT, PBE
State: optimized geometry

The space group is I4/mcm (No. 140) and the conventional cell measures 8.6684, 8.6684 and 15.7472 Å, with angles of 90.00, 90.00 and 90.00 degrees. The asymmetric unit holds Sr at (0.0000, 0.0000, 0.0000), Sr at (0.1715, 0.3285, 0.1416), Zn at (0.1092, 0.3908, 0.5000) and Bi at (0.0000, 0.0000, 0.2500).

As for the formation energy: -0.37 eV/atom.



No. 18
Material: Ac8NdY6
Method: DFT, PBE
State: optimized geometry

The space group is R-3 (No. 148, hexagonal axes) and the conventional cell measures 9.5059, 9.5059 and 22.6792 Å, with angles of 90.00, 90.00 and 120.00 degrees. The asymmetric unit holds Ac at (0.0000, 0.0000, 0.0811), Ac at (0.0522, 0.7993, 0.6350), Nd at (0.0000, 0.0000, 0.5000) and Y at (0.0239, 0.2408, 0.2038).

As for the formation energy: 0.18 eV/atom.



No. 19
Material: CeAl4
Method: DFT, PBE
State: optimized geometry

The space group is Pm-3m (No. 221) and the conventional cell measures 5.5823, 5.5823 and 5.5823 Å, with angles of 90.00, 90.00 and 90.00 degrees. The asymmetric unit holds Ce at (0.0000, 0.0000, 0.0000), Al at (0.0000, 0.0000, 0.5000) and Al at (0.5000, 0.5000, 0.5000).

The value obtained for the energy relative to the lowest polymorph listed for this composition is 1.700 eV/atom. As for the formation energy: 1.37 eV/atom.



No. 20
Material: NpTcH
Method: DFT, PBE
State: optimized geometry

The space group is Pbca (No. 61) and the conventional cell measures 4.8007, 12.4019 and 5.1919 Å, with angles of 90.00, 90.00 and 90.00 degrees. The asymmetric unit holds Np at (0.1687, 0.1613, 0.1542), Tc at (0.1766, 0.0451, 0.6624) and H at (0.2069, 0.6765, 0.5569).

The value obtained for the energy relative to the lowest polymorph listed for this composition is 0.000 eV/atom.



Number 1: DOS at the Fermi energy 2.5 states/eV/f.u.. Number 2: DOS at the Fermi energy 7.4 states/eV/f.u.. Number 3: DOS at the Fermi energy 3.9 states/eV/f.u.. Number 4: DOS at the Fermi energy 1.4 states/eV/f.u.. Number 5: DOS at the Fermi energy 40.1 states/eV/f.u.. Number 6: DOS at the Fermi energy 7.5 states/eV/f.u.. Number 7: DOS at the Fermi energy 15.8 states/eV/f.u.. Number 8: DOS at the Fermi energy 4.1 states/eV/f.u.. Number 9: DOS at the Fermi energy 4.5 states/eV/f.u.. Number 10: DOS at the Fermi energy 21.0 states/eV/f.u.. Number 11: DOS at the Fermi energy 4.0 states/eV/f.u.. Number 12: DOS at the Fermi energy 10.6 states/eV/f.u.. Number 13: DOS at the Fermi energy 4.2 states/eV/f.u.. Number 14: DOS at the Fermi energy 8.6 states/eV/f.u.. Number 15: DOS at the Fermi energy 11.0 states/eV/f.u.. Number 16: DOS at the Fermi energy 3.0 states/eV/f.u.. Number 17: DOS at the Fermi energy 9.2 states/eV/f.u.. Number 18: DOS at the Fermi energy 32.2 states/eV/f.u.. Number 19: DOS at the Fermi energy 10.4 states/eV/f.u.. Number 20: DOS at the Fermi energy 4.6 states/eV/f.u..